A plane-wave DFT calculation with PBE-GGA was carried out for a relaxed structure of Ba2LaCl7.

Values from the calculation:
The value obtained for the raw total energy is -4.615 eV/atom. For the total moment, the calculation gives 0.000 Bohr magnetons per cell.

abc: 14.9357 7.3618 11.1316
angles: 86.45 90.00 90.00
Element x y z (fractional)
1 Ba 0.5838 0.2668 0.1198
2 Ba 0.9172 0.2017 0.1290
3 Ba 0.4172 0.7983 0.3710
4 Ba 0.0838 0.7332 0.3802
5 Ba 0.9162 0.2668 0.6198
6 Ba 0.5828 0.2017 0.6290
7 Ba 0.0828 0.7983 0.8710
8 Ba 0.4162 0.7332 0.8802
9 La 0.2352 0.2224 0.0822
10 La 0.7352 0.7776 0.4178
11 La 0.2648 0.2224 0.5822
12 La 0.7648 0.7776 0.9178
13 Cl 0.1639 0.8664 0.1242
14 Cl 0.4077 0.9936 0.1120
15 Cl 0.3947 0.4619 0.1162
16 Cl 0.9346 0.7901 0.0635
17 Cl 0.0954 0.3882 0.2104
18 Cl 0.7333 0.9417 0.1419
19 Cl 0.7663 0.4738 0.0915
20 Cl 0.2663 0.5262 0.4085
21 Cl 0.2333 0.0583 0.3581
22 Cl 0.5954 0.6118 0.2896
23 Cl 0.4346 0.2099 0.4365
24 Cl 0.8947 0.5381 0.3838
25 Cl 0.9077 0.0064 0.3880
26 Cl 0.6639 0.1336 0.3758
27 Cl 0.3361 0.8664 0.6242
28 Cl 0.0923 0.9936 0.6120
29 Cl 0.1053 0.4619 0.6162
30 Cl 0.5654 0.7901 0.5635
31 Cl 0.4046 0.3882 0.7104
32 Cl 0.7667 0.9417 0.6419
33 Cl 0.7337 0.4738 0.5915
34 Cl 0.2337 0.5262 0.9085
35 Cl 0.2667 0.0583 0.8581
36 Cl 0.9046 0.6118 0.7896
37 Cl 0.0654 0.2099 0.9365
38 Cl 0.6053 0.5381 0.8838
39 Cl 0.5923 0.0064 0.8880
40 Cl 0.8361 0.1336 0.8758